Computed, not measured: a relaxed structure of CoCuCl at the PBE level of DFT.

abc: 2.890 2.890 11.848
angles: 90.00 90.00 90.00
Space group I4mm (No. 107)
One atom of each set of equivalent atoms:
Co1 0.000 0.000 0.000 x2
Cu1 0.000 0.000 0.631 x2
Cl1 0.000 0.000 0.382 x2

## Properties
Relative energy among the computed polymorphs: 0.109 eV per atom
D(E_F): 4.9 states/eV/cell